(1)
# KGeSb2Te, relaxed, DFT GGA-PBE
# energy relative to the elements, uncorrected: 0.17 eV per atom
# DFT total energy: -3.255 eV per atom
# spin magnetization: 0.6 μB per formula unit
data_KGeSb2Te
_chemical_formula_sum 'K1 Ge1 Sb2 Te1'
_space_group_name_H-M_alt 'P 1'
_space_group_IT_number 1
_cell_length_a 5.4753
_cell_length_b 5.4753
_cell_length_c 5.7683
_cell_angle_alpha 90.00
_cell_angle_beta 90.00
_cell_angle_gamma 90.00
loop_
_space_group_symop_operation_xyz
'x,y,z'
loop_
_atom_site_label
_atom_site_type_symbol
_atom_site_fract_x
_atom_site_fract_y
_atom_site_fract_z
Ge1 Ge 0.0000 0.0000 0.0000
Sb1 Sb 0.5000 0.0000 0.0000
Sb2 Sb 0.0000 0.5000 0.0000
Te1 Te 0.0000 0.0000 0.5000
K1 K 0.5000 0.5000 0.5000



(2)
# KGeSbTe2, relaxed, DFT GGA-PBE
# energy relative to the elements, uncorrected: 0.02 eV per atom
# DFT total energy: -3.200 eV per atom
# spin magnetization: 0.0 μB per formula unit
data_KGeSbTe2
_chemical_formula_sum 'K1 Ge1 Sb1 Te2'
_space_group_name_H-M_alt 'P 1'
_space_group_IT_number 1
_cell_length_a 5.6594
_cell_length_b 5.6594
_cell_length_c 5.4204
_cell_angle_alpha 90.00
_cell_angle_beta 90.00
_cell_angle_gamma 90.00
loop_
_space_group_symop_operation_xyz
'x,y,z'
loop_
_atom_site_label
_atom_site_type_symbol
_atom_site_fract_x
_atom_site_fract_y
_atom_site_fract_z
Te1 Te 0.0000 0.5000 0.0000
Te2 Te 0.5000 0.0000 0.0000
K1 K 0.5000 0.5000 0.5000
Sb1 Sb 0.0000 0.0000 0.5000
Ge1 Ge 0.0000 0.0000 0.0000



(3)
# KScGe, relaxed, DFT GGA-PBE
# DFT total energy: -4.145 eV per atom
# DFT formation energy: -0.129 eV per atom
# spin magnetization: 0.0 μB per formula unit
data_KScGe
_chemical_formula_sum 'K2 Sc2 Ge2'
_space_group_name_H-M_alt 'P 1'
_space_group_IT_number 1
_cell_length_a 4.0454
_cell_length_b 9.7589
_cell_length_c 6.2636
_cell_angle_alpha 116.81
_cell_angle_beta 108.83
_cell_angle_gamma 101.98
loop_
_space_group_symop_operation_xyz
'x,y,z'
loop_
_atom_site_label
_atom_site_type_symbol
_atom_site_fract_x
_atom_site_fract_y
_atom_site_fract_z
Sc1 Sc 0.6141 0.7854 0.1678
Ge1 Ge 0.0140 0.8369 0.9157
Ge2 Ge 0.4668 0.5008 0.1572
K1 K 0.6773 0.1439 0.9355
K2 K 0.6365 0.3765 0.6210
Sc2 Sc 0.2422 0.6850 0.5237